1.
! Li4NdIn5 PBE optimized geometry; values from VASP
&SYSTEM
  ibrav = 0, nat = 10, ntyp = 3
/
ATOMIC_SPECIES
Li 6.94 Li.upf
Nd 144.24 Nd.upf
In 114.82 In.upf
CELL_PARAMETERS angstrom
-1.926 1.502 -2.563
1.729 -1.916 -2.423
-11.713 -12.460 1.497
ATOMIC_POSITIONS crystal
Li 0.000 0.000 0.593
Li 0.000 0.000 0.778
Li 0.000 0.000 0.222
Li 0.000 0.000 0.407
Nd 0.000 0.000 0.000
In 0.500 0.500 0.130
In 0.500 0.500 0.313
In 0.500 0.500 0.500
In 0.500 0.500 0.687
In 0.500 0.500 0.870
! Crystal system: tetragonal
! E_form (eV per atom): -0.32
! SG: P4/mmm (123)


2.
! BaGa2Pt PBE optimized geometry; values from VASP
&SYSTEM
  ibrav = 0, nat = 8, ntyp = 3
/
ATOMIC_SPECIES
Ba 137.33 Ba.upf
Ga 69.72 Ga.upf
Pt 195.08 Pt.upf
CELL_PARAMETERS angstrom
-4.371 1.144 1.211
-1.664 -2.829 -3.332
-0.166 -7.181 6.180
ATOMIC_POSITIONS crystal
Ba 0.500 0.000 0.228
Ba 0.000 0.500 0.772
Ga 0.500 0.000 0.882
Ga 0.000 0.000 0.500
Ga 0.000 0.500 0.118
Ga 0.500 0.500 0.500
Pt 0.500 0.000 0.621
Pt 0.000 0.500 0.379
! Crystal system: tetragonal
! E_form (eV per atom): -0.60
! SG: P4/nmm (129)


3.
! NdEr2Ag2 PBE optimized geometry; values from VASP
&SYSTEM
  ibrav = 0, nat = 10, ntyp = 3
/
ATOMIC_SPECIES
Ag 107.87 Ag.upf
Er 167.26 Er.upf
Nd 144.24 Nd.upf
CELL_PARAMETERS angstrom
-3.883 -2.092 -2.116
2.709 -4.426 -0.596
-3.936 -2.707 9.898
ATOMIC_POSITIONS crystal
Ag 0.750 0.647 0.006
Ag 0.750 0.228 0.367
Ag 0.250 0.353 0.994
Ag 0.250 0.772 0.633
Er 0.750 0.159 0.112
Er 0.250 0.250 0.505
Er 0.250 0.841 0.888
Er 0.750 0.750 0.495
Nd 0.250 0.700 0.245
Nd 0.750 0.300 0.755
! Crystal system: monoclinic
! E_form (eV per atom): -0.13
! Distance to the lowest polymorph of the same formula (meV/atom): 97
! SG: P2_1/m (11)


4.
! Rb3CuPd2F9 PBE optimized geometry; values from VASP
&SYSTEM
  ibrav = 0, nat = 15, ntyp = 4
/
ATOMIC_SPECIES
Pd 106.42 Pd.upf
F 19.00 F.upf
Rb 85.47 Rb.upf
Cu 63.55 Cu.upf
CELL_PARAMETERS angstrom
6.037 0.000 0.000
-3.019 5.228 0.000
0.000 0.000 7.396
ATOMIC_POSITIONS crystal
Pd 0.667 0.333 0.828
Pd 0.333 0.667 0.172
F 0.162 0.323 0.339
F 0.323 0.162 0.661
F 0.500 0.500 0.000
F 0.838 0.162 0.661
F 0.162 0.838 0.339
F 0.838 0.677 0.661
F 0.000 0.500 0.000
F 0.500 0.000 0.000
F 0.677 0.838 0.339
Rb 0.333 0.667 0.663
Rb 0.000 0.000 0.000
Rb 0.667 0.333 0.337
Cu 0.000 0.000 0.500
! Crystal system: trigonal
! Energy relative to the elements, uncorrected (eV per formula unit): -29.07
! SG: P-3m1 (164)


5.
! Sm2NpMn2C4 PBE optimized geometry; values from VASP
&SYSTEM
  ibrav = 0, nat = 9, ntyp = 4
/
ATOMIC_SPECIES
Sm 150.36 Sm.upf
C 12.01 C.upf
Mn 54.94 Mn.upf
Np 237.00 Np.upf
CELL_PARAMETERS angstrom
-2.901 0.137 1.764
1.239 -6.606 -0.722
2.998 2.047 4.771
ATOMIC_POSITIONS crystal
Sm 0.864 0.728 0.458
Sm 0.136 0.272 0.542
C 0.459 0.919 0.230
C 0.217 0.435 0.185
C 0.783 0.565 0.815
C 0.541 0.081 0.770
Mn 0.317 0.633 0.005
Mn 0.683 0.367 0.995
Np 0.000 0.000 0.000
! Crystal system: monoclinic
! E_form (eV per atom): -0.01
! SG: C2/m (12)


6.
! CoIr2Rh PBE optimized geometry; values from VASP
&SYSTEM
  ibrav = 0, nat = 4, ntyp = 3
/
ATOMIC_SPECIES
Co 58.93 Co.upf
Rh 102.91 Rh.upf
Ir 192.22 Ir.upf
CELL_PARAMETERS angstrom
-2.046 -2.966 -2.924
2.317 -0.027 -4.020
1.430 -0.486 4.387
ATOMIC_POSITIONS crystal
Co 0.750 0.250 0.500
Rh 0.250 0.750 0.500
Ir 0.500 0.500 0.000
Ir 0.000 0.000 0.000
! Crystal system: tetragonal
! E_form (eV per atom): 0.02
! Distance to the lowest polymorph of the same formula (meV/atom): 12
! SG: I4/mmm (139)


7.
! TaReN PBE optimized geometry; values from VASP
&SYSTEM
  ibrav = 0, nat = 12, ntyp = 3
/
ATOMIC_SPECIES
Re 186.21 Re.upf
N 14.01 N.upf
Ta 180.95 Ta.upf
CELL_PARAMETERS angstrom
3.013 0.000 0.000
0.000 4.967 0.000
0.000 0.000 10.233
ATOMIC_POSITIONS crystal
Re 0.750 0.795 0.932
Re 0.250 0.205 0.068
Re 0.750 0.705 0.432
Re 0.250 0.295 0.568
N 0.250 0.507 0.884
N 0.250 0.993 0.384
N 0.750 0.007 0.616
N 0.750 0.493 0.116
Ta 0.750 0.243 0.300
Ta 0.750 0.257 0.800
Ta 0.250 0.743 0.200
Ta 0.250 0.757 0.700
! Crystal system: orthorhombic
! Energy relative to the elements, uncorrected (eV per formula unit): -0.77
! SG: Pnma (62)


8.
! Na4GaP2 PBE optimized geometry; values from VASP
&SYSTEM
  ibrav = 0, nat = 7, ntyp = 3
/
ATOMIC_SPECIES
Na 22.99 Na.upf
P 30.97 P.upf
Ga 69.72 Ga.upf
CELL_PARAMETERS angstrom
-0.483 -4.613 1.806
2.372 -1.298 4.179
-5.899 0.459 6.456
ATOMIC_POSITIONS crystal
Na 0.606 0.606 0.181
Na 0.394 0.394 0.819
Na 0.790 0.790 0.629
Na 0.210 0.210 0.371
P 0.909 0.909 0.272
P 0.091 0.091 0.728
Ga 0.000 0.000 0.000
! Crystal system: trigonal
! E_form (eV per atom): -0.28
! SG: R-3m (166)